First-principles (PBE-GGA) data for TlIrRu2O8 after structural relaxation, as listed in the Alexandria database.

Geometry as POSCAR:
```
TlIrRu2O8
1.0
5.1117 0.0000 0.0000
-2.5559 4.4269 0.0000
0.0000 0.0000 8.9682
Tl Ir Ru O
1 1 2 8
Direct
0.0000 0.0000 0.0000
0.0000 0.0000 0.5000
0.3333 0.6667 0.7091
0.6667 0.3333 0.2909
0.0166 0.3233 0.6292
0.3067 0.9834 0.6292
0.3233 0.3067 0.3708
0.3333 0.6667 0.9055
0.6667 0.3333 0.0945
0.6767 0.6933 0.6292
0.6933 0.0166 0.3708
0.9834 0.6767 0.3708
```

* crystal system: trigonal
* theoretical density: 5.95 g/cm3
* formation energy without anion corrections: -0.71 eV per atom
* M_tot: 0.0 μB/f.u.